This record from the Alexandria database describes a relaxed LaMg2P crystal. The functional is PBE.

The structure belongs to space group P4mm (No. 99); the cell edges are 3.649, 3.649 and 7.032 Å and the angles 90.00°, 90.00° and 90.00°. The inequivalent atoms are La at (0.000, 0.000, 0.000), Mg at (0.000, 0.000, 0.567), Mg at (0.500, 0.500, 0.345) and P at (0.500, 0.500, 0.749).

Its total energy is -3.792 eV per atom. The value obtained for the magnetic moment is 0.00 μB/f.u.